Entry 1:
Below is a PBEsol-optimized structure of KSr2Hg, with properties calculated at the SCAN level.

The structure in POSCAR format:
```
KSr2Hg
1.0
2.246 1.297 11.293
-2.246 1.297 11.293
0.000 -2.593 11.293
K Sr Hg
1 2 1
Direct
0.000 0.000 0.000
0.223 0.223 0.223
0.777 0.777 0.777
0.500 0.500 0.500
```

Values from the calculation:
Fermi-level density of states, states/eV/atom: 0.93
Space group: R-3m, No. 166
Energy of formation from the pure elements, meV per atom: -292



Entry 2:
Below is a PBEsol-optimized structure of KSr2Hg, with properties calculated at the SCAN level.

The structure in POSCAR format:
```
KSr2Hg
1.0
5.743 0.000 0.000
0.000 5.743 0.000
0.000 0.000 4.780
K Sr Hg
1 2 1
Direct
0.000 0.000 0.000
0.000 0.500 0.500
0.500 0.000 0.500
0.500 0.500 0.000
```

Values from the calculation:
Fermi-level density of states, states/eV/atom: 1.07
Space group: P4/mmm, No. 123
Energy of formation from the pure elements, meV per atom: -75



Entry 3:
Below is a PBEsol-optimized structure of KSr2TcHg, with properties calculated at the SCAN level.

The structure in POSCAR format:
```
KSr2TcHg
1.0
6.053 0.000 0.000
0.000 6.053 0.000
0.000 0.000 5.292
K Sr Tc Hg
1 2 1 1
Direct
0.000 0.000 0.000
0.000 0.500 0.000
0.500 0.000 0.000
0.500 0.500 0.500
0.000 0.000 0.500
```

Values from the calculation:
Fermi-level density of states, states/eV/atom: 0.89
Space group: P4/mmm, No. 123
Energy of formation from the pure elements, meV per atom: 1410